A geometry-optimized SiNi6Ge structure. Source: the Open Quantum Materials Database, functional PBE-GGA.

```
SiNi6Ge
1.0
3.957 0.000 0.000
0.000 3.957 0.000
0.000 0.000 5.711
Ni Si Ge
6 1 1
Cartesian
1.978 0.000 1.466 Ni
0.000 0.000 2.855 Ni
1.978 1.978 0.000 Ni
0.000 1.978 1.466 Ni
0.000 1.978 4.245 Ni
1.978 0.000 4.245 Ni
1.978 1.978 2.855 Si
0.000 0.000 0.000 Ge
```

Results
spin magnetization = 0.0 μB per formula unit
symmetry = No. 123
electronic total energy = -0.422 Ry/atom